Entry from the Alexandria database: a relaxed structure of CoNiBi2O6 (GGA+U).

abc: 5.350 5.671 9.289
angles: 90.00 124.84 90.00
Space group P2_1/c (No. 14)
Unique sites:
Co  0.000  0.000  0.000 (multiplicity 2)
Ni  0.500  0.000  0.500 (multiplicity 2)
Bi  0.265  0.064  0.753 (multiplicity 4)
O  0.141  0.035  0.241 (multiplicity 4)
O  0.234  0.711  0.051 (multiplicity 4)
O  0.341  0.185  0.043 (multiplicity 4)

Final energy ... -111.10 eV for the cell shown
Size of the total moment ... 3.15 μB per cell